Entry 1:
Density functional theory data (GGA-PBE) for crystalline CoAsP at its relaxed geometry.

a = 2.927 Å, b = 7.730 Å, c = 7.730 Å
α = 128.65°, β = 90.00°, γ = 90.00°
Fractional positions:
Co 0.000 0.000 0.000
Co 0.000 0.233 0.831
Co 0.000 0.831 0.233
As 0.000 0.407 0.407
As 0.500 0.537 0.912
As 0.500 0.912 0.537
P 0.500 0.063 0.269
P 0.500 0.269 0.063
P 0.500 0.741 0.741

Calculated values
Density, g cm⁻³: 6.0
N(E_F), states/eV per cell: 5.50
Offset from the most stable computed form, eV/atom: 0.495
Magnetization, μB/cell: 0.00


Entry 2:
Density functional theory data (GGA-PBE) for crystalline CoAs2P at its relaxed geometry.

a = 3.903 Å, b = 4.166 Å, c = 4.166 Å
α = 68.77°, β = 90.00°, γ = 90.00°
Fractional positions:
Co 0.000 0.000 0.000
As 0.000 0.417 0.417
As 0.500 0.792 0.792
P 0.500 0.176 0.176

Calculated values
Density, g cm⁻³: 6.3
Electronic total energy, eV per atom: -5.432
N(E_F), states/eV per cell: 1.67
Magnetization, μB/cell: 0.00


Entry 3:
Density functional theory data (GGA-PBE) for crystalline CoAs2P at its relaxed geometry.

a = 2.940 Å, b = 4.461 Å, c = 4.682 Å
α = 90.00°, β = 90.00°, γ = 90.00°
Fractional positions:
Co 0.000 0.000 0.000
As 0.000 0.500 0.500
As 0.500 0.500 0.000
P 0.500 0.000 0.500

Calculated values
Density, g cm⁻³: 6.5
Electronic total energy, eV per atom: -4.920
N(E_F), states/eV per cell: 3.81
Magnetization, μB/cell: 0.87


Entry 4:
Density functional theory data (GGA-PBE) for crystalline Co2AsP at its relaxed geometry.

a = 3.503 Å, b = 3.503 Å, c = 5.976 Å
α = 104.07°, β = 104.07°, γ = 48.21°
Fractional positions:
Co 0.249 0.249 0.190
Co 0.751 0.751 0.810
As 0.000 0.000 0.500
P 0.500 0.500 0.000

Calculated values
Density, g cm⁻³: 7.0
N(E_F), states/eV per cell: 3.57
Offset from the most stable computed form, eV/atom: 0.130
Magnetization, μB/cell: 0.00


Entry 5:
Density functional theory data (GGA-PBE) for crystalline CoAs2P at its relaxed geometry.

a = 4.346 Å, b = 4.346 Å, c = 4.346 Å
α = 109.69°, β = 109.69°, γ = 109.03°
Fractional positions:
Co 0.000 0.000 0.000
As 0.000 0.500 0.500
As 0.500 0.000 0.500
P 0.500 0.500 0.000

Calculated values
Density, g cm⁻³: 6.3
Electronic total energy, eV per atom: -5.241
N(E_F), states/eV per cell: 1.66
Magnetization, μB/cell: 0.00


Entry 6:
Density functional theory data (GGA-PBE) for crystalline Co2AsP at its relaxed geometry.

a = 7.232 Å, b = 7.232 Å, c = 7.232 Å
α = 22.61°, β = 22.61°, γ = 22.61°
Fractional positions:
Co 0.243 0.243 0.243
Co 0.757 0.757 0.757
As 0.000 0.000 0.000
P 0.500 0.500 0.500

Calculated values
Density, g cm⁻³: 7.6
N(E_F), states/eV per cell: 3.41
Offset from the most stable computed form, eV/atom: 0.151
Magnetization, μB/cell: 0.00


Entry 7:
Density functional theory data (GGA-PBE) for crystalline CoAsP at its relaxed geometry.

a = 5.744 Å, b = 5.716 Å, c = 5.809 Å
α = 90.00°, β = 115.37°, γ = 90.00°
Fractional positions:
Co 0.219 0.000 0.473
Co 0.238 0.502 0.954
Co 0.762 0.002 0.046
Co 0.781 0.500 0.527
As 0.160 0.875 0.070
As 0.342 0.375 0.385
As 0.658 0.875 0.615
As 0.840 0.375 0.930
P 0.157 0.640 0.574
P 0.347 0.137 0.879
P 0.653 0.637 0.121
P 0.843 0.140 0.426

Calculated values
Density, g cm⁻³: 6.4
Offset from the most stable computed form, eV/atom: 0.029
Magnetization, μB/cell: 0.00


Entry 8:
Density functional theory data (GGA-PBE) for crystalline CoAsP at its relaxed geometry.

a = 4.031 Å, b = 4.031 Å, c = 4.031 Å
α = 60.00°, β = 60.00°, γ = 60.00°
Fractional positions:
Co 0.000 0.000 0.000
As 0.500 0.500 0.500
P 0.250 0.250 0.250

Calculated values
Density, g cm⁻³: 5.9
N(E_F), states/eV per cell: 2.65
Offset from the most stable computed form, eV/atom: 0.833
Magnetization, μB/cell: 0.00


Entry 9:
Density functional theory data (GGA-PBE) for crystalline Co2AsP at its relaxed geometry.

a = 2.775 Å, b = 2.775 Å, c = 6.422 Å
α = 90.00°, β = 90.00°, γ = 90.00°
Fractional positions:
Co 0.000 0.000 0.196
Co 0.000 0.000 0.804
As 0.500 0.500 0.500
P 0.500 0.500 0.000

Calculated values
Density, g cm⁻³: 7.5
N(E_F), states/eV per cell: 3.35
Offset from the most stable computed form, eV/atom: 0.176
Magnetization, μB/cell: 0.62


Entry 10:
Density functional theory data (GGA-PBE) for crystalline Co2AsP at its relaxed geometry.

a = 9.379 Å, b = 9.379 Å, c = 9.379 Å
α = 16.99°, β = 16.99°, γ = 16.99°
Fractional positions:
Co 0.000 0.000 0.000
Co 0.260 0.260 0.260
As 0.530 0.530 0.530
P 0.722 0.722 0.722

Calculated values
Density, g cm⁻³: 6.0
N(E_F), states/eV per cell: 3.11
Offset from the most stable computed form, eV/atom: 0.375
Magnetization, μB/cell: 0.69


Entry 11:
Density functional theory data (GGA-PBE) for crystalline CoAsP at its relaxed geometry.

a = 3.036 Å, b = 4.960 Å, c = 5.730 Å
α = 90.00°, β = 90.00°, γ = 90.00°
Fractional positions:
Co 0.000 0.230 0.000
Co 0.500 0.770 0.500
As 0.000 0.428 0.627
As 0.500 0.572 0.127
P 0.000 0.059 0.362
P 0.500 0.941 0.862

Calculated values
Density, g cm⁻³: 6.3
N(E_F), states/eV per cell: 2.49
Offset from the most stable computed form, eV/atom: 0.053
Magnetization, μB/cell: 0.00


Entry 12:
Density functional theory data (GGA-PBE) for crystalline CoAs2P at its relaxed geometry.

a = 3.070 Å, b = 3.070 Å, c = 6.879 Å
α = 90.00°, β = 90.00°, γ = 90.00°
Fractional positions:
Co 0.000 0.000 0.000
As 0.000 0.000 0.367
As 0.500 0.500 0.784
P 0.500 0.500 0.152

Calculated values
Density, g cm⁻³: 6.1
Electronic total energy, eV per atom: -5.307
N(E_F), states/eV per cell: 1.66
Magnetization, μB/cell: 0.00